(1)
This record from Alexandria describes crystalline AlP2Pt at its relaxed geometry. The functional is GGA-PBE.

```
4
Lattice="2.989 0.000 0.000 0.000 2.989 0.000 0.000 0.000 6.758" Properties=species:S:1:pos:R:3 pbc="T T T"
P 0.000 0.000 0.045
P 0.000 0.000 3.334
Al 1.494 1.494 5.069
Pt 1.494 1.494 1.690
```

Values from the calculation:
E_form (eV/atom): 0.1523
Space-group type: No. 123
Fermi-level density of states (states/eV per cell): 2.38

=====

(2)
This record from Alexandria describes crystalline Y4SbRh at its relaxed geometry. The functional is GGA-PBE.

```
6
Lattice="0.953 -5.500 -2.460 3.045 -4.257 3.134 -2.950 -4.871 2.187" Properties=species:S:1:pos:R:3 pbc="T T T"
Y 0.868 -8.233 -0.153
Y -1.078 -7.920 2.164
Y 1.912 -7.613 2.637
Y 0.393 -5.490 1.074
Sb 0.000 0.000 0.000
Rh 0.786 -10.971 2.146
```

Values from the calculation:
Space-group type: No. 216
Fermi-level density of states (states/eV per cell): 8.43
Energy above the most stable polymorph in this dataset (eV per atom): 1.021
Uncorrected formation energy (meV per atom): 328

=====

(3)
This record from Alexandria describes crystalline KCaHg2Br6 at its relaxed geometry. The functional is GGA-PBE.

```
10
Lattice="7.548 0.000 0.001 -3.774 6.536 0.000 -3.771 -2.176 7.050" Properties=species:S:1:pos:R:3 pbc="T T T"
K -3.715 2.210 3.580
Ca 0.061 4.390 6.757
Hg 0.060 4.385 2.704
Hg 0.060 0.030 6.454
Br -2.137 4.810 4.843
Br 2.657 0.123 1.119
Br 2.615 4.265 1.120
Br -1.325 2.231 1.121
Br 0.793 2.275 4.844
Br -2.252 -0.454 4.844
```

Values from the calculation:
Space-group type: No. 146
Fermi-level density of states (states/eV per cell): 2.34
Uncorrected formation energy (meV per atom): -1097

=====

(4)
This record from Alexandria describes crystalline AcTb2Si at its relaxed geometry. The functional is GGA-PBE.

```
4
Lattice="-3.249 2.336 -0.698 -3.193 -1.509 -2.005 -5.936 -2.555 7.262" Properties=species:S:1:pos:R:3 pbc="T T T"
Ac -6.160 -0.843 2.217
Tb -5.304 -2.082 5.899
Tb -2.795 -0.208 0.493
Si -4.309 0.540 -1.772
```

Values from the calculation:
Space-group type: No. 160
Fermi-level density of states (states/eV per cell): 4.19
Energy above the most stable polymorph in this dataset (eV per atom): 0.000
Uncorrected formation energy (meV per atom): -216

=====

(5)
This record from Alexandria describes crystalline Sn2BiN at its relaxed geometry. The functional is GGA-PBE.

```
8
Lattice="5.851 0.000 0.000 0.000 5.851 0.000 2.925 2.925 6.293" Properties=species:S:1:pos:R:3 pbc="T T T"
N 2.925 2.925 0.000
N 2.925 5.851 3.146
Bi 0.000 0.000 0.000
Bi 5.851 2.925 3.146
Sn 3.710 1.463 1.573
Sn 2.141 4.388 1.573
Sn 4.388 5.067 4.720
Sn 7.314 6.635 4.720
```

Values from the calculation:
Space-group type: No. 122
Fermi-level density of states (states/eV per cell): 1.61
Energy above the most stable polymorph in this dataset (eV per atom): 0.000
Uncorrected formation energy (meV per atom): 444

=====

(6)
This record from Alexandria describes crystalline LuMnTcMo at its relaxed geometry. The functional is GGA-PBE.

```
4
Lattice="-3.913 0.719 -2.076 -3.801 -1.619 1.753 -3.012 2.799 1.798" Properties=species:S:1:pos:R:3 pbc="T T T"
Mo 0.000 0.000 0.000
Lu -5.363 0.949 0.738
Tc -8.045 1.424 1.107
Mn -2.682 0.475 0.369
```

Values from the calculation:
E_form (eV/atom): 0.0871
Space-group type: No. 216
Fermi-level density of states (states/eV per cell): 3.26

=====

(7)
This record from Alexandria describes crystalline ErGaPb2O5 at its relaxed geometry. The functional is GGA-PBE.

```
18
Lattice="-0.702 1.097 3.122 -5.539 -4.761 -1.405 6.653 -9.128 4.703" Properties=species:S:1:pos:R:3 pbc="T T T"
Er -0.339 -6.913 4.185
Er -2.071 -2.007 0.240
Ga 5.343 -8.221 5.923
Ga -2.605 -7.762 2.142
Pb 0.919 -9.811 5.487
Pb 3.079 -6.654 3.030
Pb 0.311 -4.103 1.511
Pb -4.160 -4.089 2.334
O -3.926 -3.162 0.228
O 3.799 -9.277 5.947
O -0.224 -11.265 3.908
O 0.821 -8.568 3.195
O -2.548 -8.054 4.090
O 1.351 -5.531 4.080
O -1.107 -6.642 2.085
O 1.298 -2.434 2.980
O -1.616 -2.568 2.372
O -0.282 -0.290 0.038
```

Values from the calculation:
Space-group type: No. 36
Fermi-level density of states (states/eV per cell): 0.00
Uncorrected formation energy (meV per atom): -1917

=====

(8)
This record from Alexandria describes crystalline Te3IrCl at its relaxed geometry. The functional is GGA-PBE.

```
5
Lattice="-0.270 2.435 4.674 3.090 -3.719 2.115 4.270 2.845 -1.235" Properties=species:S:1:pos:R:3 pbc="T T T"
Ir 0.000 0.000 0.000
Te 1.545 -1.859 1.058
Te 2.135 1.422 -0.618
Te -0.135 1.217 2.337
Cl 3.545 0.780 2.777
```

Values from the calculation:
Space-group type: No. 221
Fermi-level density of states (states/eV per cell): 7.35
Energy above the most stable polymorph in this dataset (eV per atom): 0.000
Uncorrected formation energy (meV per atom): 442

=====

Fermi-level density of states of number 3 (KCaHg2Br6)? 2.34 states/eV per cell

=====

Repeat the sixth record exactly.
This record from Alexandria describes crystalline LuMnTcMo at its relaxed geometry. The functional is GGA-PBE.

```
4
Lattice="-3.913 0.719 -2.076 -3.801 -1.619 1.753 -3.012 2.799 1.798" Properties=species:S:1:pos:R:3 pbc="T T T"
Mo 0.000 0.000 0.000
Lu -5.363 0.949 0.738
Tc -8.045 1.424 1.107
Mn -2.682 0.475 0.369
```

Values from the calculation:
E_form (eV/atom): 0.0871
Space-group type: No. 216
Fermi-level density of states (states/eV per cell): 3.26

=====

The highest Fermi-level density of states belongs to which entry? Y4SbRh